No. 1
A relaxed structure of SrScTl2F6, computed with PBE.

Summary:
As for the density of states at the Fermi level: 5.60 states/eV per cell. The formation energy (no corrections) comes out at -2860.0 kJ/mol of formula units. The calculation puts the final energy at -0.197 Ha/atom. As for the magnetic moment: 0.0 μB per cell. Its space group is Pmmn, No. 59.

Unit cell a=6.4221 b=6.4222 c=9.0917 alpha=90.00 beta=90.00 gamma=90.00
Fractional coordinates of all 20 atoms:
Sr 0.0000 0.7496 0.5000
Sr 0.5000 0.2504 0.0000
Sc 0.5000 0.2496 0.5000
Sc 0.0000 0.7504 0.0000
Tl 0.5000 0.7501 0.2500
Tl 0.0000 0.2499 0.7500
Tl 0.5000 0.7501 0.7500
Tl 0.0000 0.2499 0.2500
F 0.5000 0.2496 0.2733
F 0.5000 0.2496 0.7267
F 0.0000 0.7504 0.2267
F 0.0000 0.7504 0.7733
F 0.2733 0.0222 0.5000
F 0.7267 0.0222 0.5000
F 0.2728 0.4764 0.5000
F 0.7272 0.4764 0.5000
F 0.7728 0.5236 0.0000
F 0.2272 0.5236 0.0000
F 0.2267 0.9778 0.0000
F 0.7733 0.9778 0.0000

No. 2
A relaxed structure of SrScTlF6, computed with PBE.

Summary:
As for the density of states at the Fermi level: 0.00 states/eV per cell. The formation energy (no corrections) comes out at -2991.9 kJ/mol of formula units. The calculation puts the final energy at -0.215 Ha/atom. As for the magnetic moment: 0.0 μB per cell. Its space group is Imma, No. 74.

Unit cell a=7.9960 b=7.8070 c=7.7100 alpha=120.42 beta=121.23 gamma=90.00
Fractional coordinates of all 18 atoms:
Sr 0.5000 0.0000 0.5000
Sr 0.0000 0.0000 0.5000
Sc 0.5000 0.5000 0.0000
Sc 0.5000 0.0000 0.0000
Tl 0.8605 0.6105 0.7210
Tl 0.1395 0.3895 0.2790
F 0.5659 0.8159 0.1318
F 0.8739 0.1239 0.7479
F 0.8096 0.1599 0.2623
F 0.4527 0.6024 0.2623
F 0.4527 0.1599 0.2623
F 0.8096 0.6024 0.2623
F 0.4341 0.1841 0.8682
F 0.1261 0.8761 0.2521
F 0.1904 0.8401 0.7377
F 0.5473 0.3976 0.7377
F 0.5473 0.8401 0.7377
F 0.1904 0.3976 0.7377

No. 3
A relaxed structure of Sc2TaF, computed with PBE.

Summary:
As for the density of states at the Fermi level: 2.70 states/eV per cell. The formation energy (no corrections) comes out at -387.2 kJ/mol of formula units. The value obtained for the energy relative to the lowest polymorph listed for this composition is 0.000 eV/atom. The calculation puts the final energy at -0.279 Ha/atom. As for the magnetic moment: 0.0 μB per cell. Its space group is R-3m, No. 166.

Unit cell a=9.0167 b=9.0167 c=9.0167 alpha=20.44 beta=20.44 gamma=20.44
Fractional coordinates of all 4 atoms:
Sc 0.9220 0.9220 0.9220
Sc 0.0780 0.0780 0.0780
F 0.0000 0.0000 0.0000
Ta 0.5000 0.5000 0.5000